{"formula": "PrSmCdCu", "functional": "PBE", "state": "relaxed", "lattice": [[5.2800, 0.0000, 0.0000], [2.6400, 4.5727, 0.0000], [2.6400, 1.5242, 4.3111]], "species": ["Pr", "Cu", "Sm", "Cd"], "frac_coords": [[0.5000, 0.5000, 0.5000], [0.2500, 0.2500, 0.2500], [0.0000, 0.0000, 0.0000], [0.7500, 0.7500, 0.7500]], "final_energy_ev_per_atom": -3.811, "volume_a3_per_cell": 104}